{
  "formula": "CuSbOsS2",
  "functional": "PBE-GGA",
  "state": "relaxed",
  "raw_formation_energy_ev_per_fu": 8.47,
  "dos_ef_per_ev_cell": 4.6,
  "cell": [[-4.183, -2.922, -0.195], [1.007, -1.142, -4.477], [2.719, -4.002, 1.632]],
  "species": ["Sb", "Cu", "Os", "S", "S"],
  "fractional_positions": [[0.000, 0.000, 0.000], [0.000, 0.500, 0.000], [0.500, 0.500, 0.500], [0.500, 0.000, 0.000], [0.000, 0.000, 0.500]]
}